The following is a DFT calculation (GGA-PBE) of crystalline Na3PbAu8 at its relaxed geometry.

**Energy relative to the elements**: -0.27 eV per atom
**Crystal system**: trigonal

Geometry as CIF:
```
data_Na3PbAu8
_symmetry_space_group_name_H-M 'R 3 m'
_symmetry_Int_Tables_number 160
_symmetry_space_group_name_Hall 'R 3 -2"'
_cell_length_a 5.6672
_cell_length_b 5.6672
_cell_length_c 27.5086
_cell_angle_alpha 90.00
_cell_angle_beta 90.00
_cell_angle_gamma 120.00
loop_
_atom_site_label
_atom_site_type_symbol
_atom_site_fract_x
_atom_site_fract_y
_atom_site_fract_z
Na1 Na 0.0000 0.0000 0.0000
Na2 Na 0.0000 0.0000 0.1258
Na3 Na 0.0000 0.0000 0.4991
Pb1 Pb 0.0000 0.0000 0.6225
Au1 Au 0.0000 0.0000 0.3131
Au2 Au 0.0000 0.0000 0.8128
Au3 Au 0.0000 0.5000 0.5621
Au4 Au 0.0007 0.5003 0.0633
```


The following is a DFT calculation (GGA-PBE) of crystalline MnCu2P at its relaxed geometry.

**Energy relative to the elements**: 0.03 eV per atom
**Crystal system**: tetragonal

Geometry as CIF:
```
data_MnCu2P
_symmetry_space_group_name_H-M 'I 4/m m m'
_symmetry_Int_Tables_number 139
_symmetry_space_group_name_Hall '-I 4 2'
_cell_length_a 3.5156
_cell_length_b 3.5156
_cell_length_c 8.0766
_cell_angle_alpha 90.00
_cell_angle_beta 90.00
_cell_angle_gamma 90.00
loop_
_atom_site_label
_atom_site_type_symbol
_atom_site_fract_x
_atom_site_fract_y
_atom_site_fract_z
Mn1 Mn 0.0000 0.0000 0.0000
Cu1 Cu 0.0000 0.5000 0.2500
P1 P 0.0000 0.0000 0.5000
```


Table of D(E_F) (states/eV/cell), in record order: 16.5; 4.4